Entry 1:
# Sr3PmAu4

A relaxed structure of Sr3PmAu4 (PBE-GGA, the Alexandria database).

For the formation energy, the calculation gives -5.8 eV per formula unit. For the magnetization, the calculation gives 0.00 μB per cell. The density of states at the Fermi level is 9.62 states/eV per cell.

abc: 7.574 7.574 7.574
angles: 90.00 90.00 90.00
Space group Im-3m (No. 229)
Unique sites:
Sr1 0.000 0.000 0.500 [6 per cell]
Pm1 0.000 0.000 0.000 [2 per cell]
Au1 0.250 0.250 0.250 [8 per cell]

=====

Entry 2:
# Al2CoTe

A relaxed structure of Al2CoTe (PBE-GGA, the Alexandria database).

Its raw formation energy is 348 meV/atom. For the magnetization, the calculation gives 0.00 μB per cell. The density of states at the Fermi level is 15.78 states/eV per cell.

abc: 6.096 6.096 10.522
angles: 90.00 90.00 90.00
Space group I-42d (No. 122)
Unique sites:
Al1 0.190 0.250 0.125 [8 per cell]
Co1 0.000 0.000 0.000 [4 per cell]
Te1 0.000 0.000 0.500 [4 per cell]

=====

Entry 3:
# Y3FeHg

A relaxed structure of Y3FeHg (PBE-GGA, the Alexandria database).

For the formation energy, the calculation gives -1.1 eV per formula unit. For the magnetization, the calculation gives 2.09 μB per cell. The density of states at the Fermi level is 10.28 states/eV per cell.

abc: 8.510 3.733 8.634
angles: 90.00 110.26 90.00
Space group P2_1/m (No. 11)
Unique sites:
Y1 0.062 0.250 0.226 [2 per cell]
Y2 0.311 0.250 0.917 [2 per cell]
Y3 0.328 0.750 0.578 [2 per cell]
Fe1 0.057 0.250 0.575 [2 per cell]
Hg1 0.364 0.750 0.218 [2 per cell]

=====

Entry 4:
# Ba2NpTe5Pb

A relaxed structure of Ba2NpTe5Pb (PBE-GGA, the Alexandria database).

Its raw formation energy is -1031 meV/atom. For the magnetization, the calculation gives 13.41 μB per cell. The density of states at the Fermi level is 29.73 states/eV per cell.

abc: 4.719 19.876 14.797
angles: 90.00 90.00 90.00
Space group Cmc2_1 (No. 36)
Unique sites:
Ba1 0.000 0.107 0.000 [4 per cell]
Ba2 0.000 0.138 0.628 [4 per cell]
Np1 0.000 0.210 0.337 [4 per cell]
Te1 0.000 0.062 0.399 [4 per cell]
Te2 0.000 0.282 0.974 [4 per cell]
Te3 0.000 0.314 0.697 [4 per cell]
Te4 0.000 0.364 0.317 [4 per cell]
Te5 0.000 0.488 0.074 [4 per cell]
Pb1 0.000 0.466 0.772 [4 per cell]